No. 1
The following is a DFT calculation (PBE-GGA) of a relaxed Th2InSb crystal.

The value obtained for the mass density is 10.00 g cm⁻³. The density of states at the Fermi level comes out at 5.07 states/eV/cell. As for the polymorph energy (0 for the lowest one): 0.0 meV/atom.

The structure belongs to space group P4/mmm (No. 123); the cell edges are 3.748, 3.748 and 8.279 Å and the angles 90.00°, 90.00° and 90.00°. The inequivalent atoms are Th at (0.000, 0.000, 0.236), In at (0.500, 0.500, 0.500) and Sb at (0.500, 0.500, 0.000).



No. 2
The following is a DFT calculation (PBE-GGA) of a relaxed Th4InSb2 crystal.

The value obtained for the mass density is 9.68 g cm⁻³. The density of states at the Fermi level comes out at 26.95 states/eV/cell. For the total energy, the calculation gives -6.235 eV per atom.

The structure belongs to space group Cmcm (No. 63); the cell edges are 4.860, 10.931 and 16.621 Å and the angles 90.00°, 90.00° and 90.00°. The inequivalent atoms are Th at (0.000, 0.000, 0.000), Th at (0.000, 0.333, 0.131), Th at (0.000, 0.368, 0.750), In at (0.000, 0.061, 0.750) and Sb at (0.000, 0.338, 0.565).



No. 3
The following is a DFT calculation (PBE-GGA) of a relaxed ThInSb crystal.

The value obtained for the mass density is 8.08 g cm⁻³. The density of states at the Fermi level comes out at 7.48 states/eV/cell. As for the polymorph energy (0 for the lowest one): 0.0 meV/atom.

The structure belongs to space group R-3m (No. 166, hexagonal axes); the cell edges are 5.2643, 5.2643 and 24.0859 Å and the angles 90.00°, 90.00° and 120.00°. The inequivalent atoms are Th at (0.0000, 0.0000, 0.0825), In at (0.0000, 0.0000, 0.3432) and Sb at (0.0000, 0.0000, 0.2163).